# 1
# LiYMn2Br (GGA-PBE, relaxed)
data_LiYMn2Br
_cell_length_a 5.211
_cell_length_b 5.211
_cell_length_c 6.325
_cell_angle_alpha 90.00
_cell_angle_beta 90.00
_cell_angle_gamma 90.00
_space_group_name_H-M_alt 'P 4/m m m'
_space_group_IT_number 123
_space_group_name_Hall '-P 4 2'
loop_
_atom_site_label
_atom_site_fract_x
_atom_site_fract_y
_atom_site_fract_z
Li1 0.000 0.000 0.000
Y1 0.000 0.000 0.500
Mn1 0.000 0.500 0.500
Br1 0.500 0.500 0.000
# total magnetic moment	1.40	μB per atom
# energy relative to the elements, uncorrected	1.1846	eV per atom

# 2
# Li2YMnBr (GGA-PBE, relaxed)
data_Li2YMnBr
_cell_length_a 4.693
_cell_length_b 4.693
_cell_length_c 4.410
_cell_angle_alpha 90.00
_cell_angle_beta 90.00
_cell_angle_gamma 90.00
_space_group_name_H-M_alt 'P 4/m m m'
_space_group_IT_number 123
_space_group_name_Hall '-P 4 2'
loop_
_atom_site_label
_atom_site_fract_x
_atom_site_fract_y
_atom_site_fract_z
Li1 0.000 0.500 0.000
Y1 0.000 0.000 0.500
Mn1 0.500 0.500 0.000
Br1 0.500 0.500 0.500
# total magnetic moment	0.00	μB per atom
# energy relative to the elements, uncorrected	0.4470	eV per atom

# 3
# LiMoBr6 (GGA-PBE, relaxed)
data_LiMoBr6
_cell_length_a 6.841
_cell_length_b 12.125
_cell_length_c 6.812
_cell_angle_alpha 90.00
_cell_angle_beta 114.19
_cell_angle_gamma 90.00
_space_group_name_H-M_alt 'C 1 2/m 1'
_space_group_IT_number 12
loop_
_space_group_symop_operation_xyz
'x,y,z'
'-x,-y,-z'
'-x,y,-z'
'x,-y,z'
'x+1/2,y+1/2,z'
'-x+1/2,-y+1/2,-z'
'-x+1/2,y+1/2,-z'
'x+1/2,-y+1/2,z'
loop_
_atom_site_label
_atom_site_fract_x
_atom_site_fract_y
_atom_site_fract_z
Li1 0.000 0.000 0.000
Mo1 0.000 0.500 0.500
Br1 0.217 0.500 0.285
Br2 0.241 0.352 0.743
# distance to the lowest polymorph of the same formula	0	meV per atom
# total magnetic moment	0.13	μB per atom
# energy relative to the elements, uncorrected	-0.6839	eV per atom

# 4
# Li2MoBr (GGA-PBE, relaxed)
data_Li2MoBr
_cell_length_a 9.245
_cell_length_b 3.063
_cell_length_c 5.085
_cell_angle_alpha 90.00
_cell_angle_beta 113.16
_cell_angle_gamma 90.00
_space_group_name_H-M_alt 'C 1 m 1'
_space_group_IT_number 8
loop_
_space_group_symop_operation_xyz
'x,y,z'
'x,-y,z'
'x+1/2,y+1/2,z'
'x+1/2,-y+1/2,z'
loop_
_atom_site_label
_atom_site_fract_x
_atom_site_fract_y
_atom_site_fract_z
Li1 0.000 0.000 0.000
Li2 0.230 0.000 0.837
Mo1 0.291 0.500 0.386
Br1 0.022 0.500 0.418
# distance to the lowest polymorph of the same formula	188	meV per atom
# total magnetic moment	0.00	μB per atom
# energy relative to the elements, uncorrected	0.2841	eV per atom

# 5
# Li2MoBr (GGA-PBE, relaxed)
data_Li2MoBr
_cell_length_a 5.062
_cell_length_b 9.133
_cell_length_c 2.933
_cell_angle_alpha 90.00
_cell_angle_beta 90.52
_cell_angle_gamma 90.00
_space_group_name_H-M_alt 'C 1 2/m 1'
_space_group_IT_number 12
loop_
_space_group_symop_operation_xyz
'x,y,z'
'-x,-y,-z'
'-x,y,-z'
'x,-y,z'
'x+1/2,y+1/2,z'
'-x+1/2,-y+1/2,-z'
'-x+1/2,y+1/2,-z'
'x+1/2,-y+1/2,z'
loop_
_atom_site_label
_atom_site_fract_x
_atom_site_fract_y
_atom_site_fract_z
Li1 0.250 0.250 0.000
Mo1 0.000 0.000 0.500
Br1 0.000 0.500 0.500
# distance to the lowest polymorph of the same formula	228	meV per atom
# total magnetic moment	0.00	μB per atom
# energy relative to the elements, uncorrected	0.3236	eV per atom

# 6
# Li2MoBr (GGA-PBE, relaxed)
data_Li2MoBr
_cell_length_a 2.909
_cell_length_b 4.685
_cell_length_c 5.231
_cell_angle_alpha 90.00
_cell_angle_beta 90.47
_cell_angle_gamma 90.00
_space_group_name_H-M_alt 'P 1 m 1'
_space_group_IT_number 6
loop_
_space_group_symop_operation_xyz
'x,y,z'
'x,-y,z'
loop_
_atom_site_label
_atom_site_fract_x
_atom_site_fract_y
_atom_site_fract_z
Li1 0.000 0.000 0.000
Li2 0.011 0.500 0.724
Mo1 0.506 0.500 0.220
Br1 0.509 0.000 0.414
# distance to the lowest polymorph of the same formula	196	meV per atom
# total magnetic moment	0.00	μB per atom
# energy relative to the elements, uncorrected	0.2919	eV per atom

# 7
# Li2MoBr (GGA-PBE, relaxed)
data_Li2MoBr
_cell_length_a 3.019
_cell_length_b 3.019
_cell_length_c 7.621
_cell_angle_alpha 90.00
_cell_angle_beta 90.00
_cell_angle_gamma 90.00
_space_group_name_H-M_alt 'P 4/m m m'
_space_group_IT_number 123
_space_group_name_Hall '-P 4 2'
loop_
_atom_site_label
_atom_site_fract_x
_atom_site_fract_y
_atom_site_fract_z
Li1 0.000 0.000 0.211
Mo1 0.500 0.500 0.500
Br1 0.500 0.500 0.000
# distance to the lowest polymorph of the same formula	51	meV per atom
# total magnetic moment	0.28	μB per atom
# energy relative to the elements, uncorrected	0.1467	eV per atom

# 8
# Li2MoBr (GGA-PBE, relaxed)
data_Li2MoBr
_cell_length_a 3.245
_cell_length_b 4.919
_cell_length_c 8.697
_cell_angle_alpha 90.00
_cell_angle_beta 90.00
_cell_angle_gamma 90.00
_space_group_name_H-M_alt 'C m m m'
_space_group_IT_number 65
_space_group_name_Hall '-C 2 2'
loop_
_atom_site_label
_atom_site_fract_x
_atom_site_fract_y
_atom_site_fract_z
Li1 0.000 0.000 0.222
Mo1 0.000 0.500 0.500
Br1 0.000 0.500 0.000
# distance to the lowest polymorph of the same formula	11	meV per atom
# total magnetic moment	0.01	μB per atom
# energy relative to the elements, uncorrected	0.1062	eV per atom

# 9
# Li2MoBr8 (GGA-PBE, relaxed)
data_Li2MoBr8
_cell_length_a 14.380
_cell_length_b 7.103
_cell_length_c 6.568
_cell_angle_alpha 90.00
_cell_angle_beta 91.15
_cell_angle_gamma 90.00
_space_group_name_H-M_alt 'C 1 2/m 1'
_space_group_IT_number 12
loop_
_space_group_symop_operation_xyz
'x,y,z'
'-x,-y,-z'
'-x,y,-z'
'x,-y,z'
'x+1/2,y+1/2,z'
'-x+1/2,-y+1/2,-z'
'-x+1/2,y+1/2,-z'
'x+1/2,-y+1/2,z'
loop_
_atom_site_label
_atom_site_fract_x
_atom_site_fract_y
_atom_site_fract_z
Li1 0.162 0.000 0.083
Mo1 0.000 0.000 0.500
Br1 0.058 0.249 0.266
Br2 0.155 0.000 0.683
Br3 0.178 0.500 0.797
# total magnetic moment	0.00	μB per atom
# energy relative to the elements, uncorrected	-0.6723	eV per atom

# 10
# Li3MoBr8 (GGA-PBE, relaxed)
data_Li3MoBr8
_cell_length_a 8.319
_cell_length_b 10.447
_cell_length_c 8.005
_cell_angle_alpha 90.00
_cell_angle_beta 90.00
_cell_angle_gamma 90.00
_space_group_name_H-M_alt 'C 2 2 2'
_space_group_IT_number 21
loop_
_space_group_symop_operation_xyz
'x,y,z'
'-x,-y,z'
'x,-y,-z'
'-x,y,-z'
'x+1/2,y+1/2,z'
'-x+1/2,-y+1/2,z'
'x+1/2,-y+1/2,-z'
'-x+1/2,y+1/2,-z'
loop_
_atom_site_label
_atom_site_fract_x
_atom_site_fract_y
_atom_site_fract_z
Li1 0.000 0.000 0.000
Li2 0.250 0.250 0.828
Mo1 0.000 0.000 0.500
Br1 0.000 0.237 0.500
Br2 0.000 0.247 0.000
Br3 0.218 0.004 0.724
# total magnetic moment	0.08	μB per atom
# energy relative to the elements, uncorrected	-0.9354	eV per atom